Entry 1:
VASP calculation (PBE) on a relaxed K2TlNiBr6 crystal.

a = 10.9056 Å, b = 10.9056 Å, c = 10.9056 Å
α = 90.00°, β = 90.00°, γ = 90.00°
Space group Fm-3m (No. 225)
Unique sites:
K 0.2500 0.2500 0.2500 x8
Tl 0.0000 0.0000 0.0000 x4
Ni 0.0000 0.0000 0.5000 x4
Br 0.0000 0.0000 0.2706 x24

Computed properties:
* E_tot: -2.96 eV/atom
* size of the total moment: 4.008 μB per cell

---

Entry 2:
VASP calculation (PBE) on a relaxed Cs2LiNdB2O6 crystal.

a = 7.1989 Å, b = 9.9080 Å, c = 10.3042 Å
α = 90.00°, β = 90.00°, γ = 90.00°
Space group Pbcm (No. 57)
Unique sites:
Cs 0.2250 0.0773 0.0524 x8
Li 0.0507 0.1606 0.7500 x4
Nd 0.3596 0.7268 0.2500 x4
B 0.1932 0.7500 0.0000 x4
B 0.3426 0.0680 0.7500 x4
O 0.1025 0.7094 0.6111 x8
O 0.1880 0.5152 0.2500 x4
O 0.3187 0.2074 0.7500 x4
O 0.3876 0.7500 0.0000 x4
O 0.4815 0.5118 0.7500 x4

Computed properties:
* E_tot: -6.77 eV/atom
* size of the total moment: 0.014 μB per cell

---

Entry 3:
VASP calculation (PBE) on a relaxed GdPuSb crystal.

a = 7.2865 Å, b = 7.2865 Å, c = 7.2865 Å
α = 90.00°, β = 90.00°, γ = 90.00°
Space group F-43m (No. 216)
Unique sites:
Gd 0.0000 0.0000 0.0000 x4
Pu 0.2500 0.2500 0.2500 x4
Sb 0.0000 0.0000 0.5000 x4

Computed properties:
* E_tot: -7.62 eV/atom
* size of the total moment: 31.360 μB per cell

---

Entry 4:
VASP calculation (PBE) on a relaxed Ni3As2 crystal.

a = 6.0833 Å, b = 6.0833 Å, c = 13.3398 Å
α = 90.00°, β = 90.00°, γ = 120.00°
Space group R-3c (No. 167, hexagonal axes)
Unique sites:
Ni 0.0000 0.2490 0.2500 x18
As 0.0000 0.0000 0.1106 x12

Computed properties:
* E_tot: -5.35 eV/atom
* size of the total moment: 0.023 μB per cell

---

Entry 5:
VASP calculation (PBE) on a relaxed Th7Ni3 crystal.

a = 9.8359 Å, b = 9.8359 Å, c = 6.2170 Å
α = 90.00°, β = 90.00°, γ = 120.00°
Space group P6_3mc (No. 186)
Unique sites:
Th 0.0880 0.5440 0.0000 x6
Th 0.1268 0.2535 0.7014 x6
Th 0.3333 0.6667 0.5330 x2
Ni 0.1865 0.3730 0.2683 x6

Computed properties:
* E_tot: -7.14 eV/atom
* size of the total moment: 0.000 μB per cell
* E_form: -0.285 eV/atom

---

Entry 6:
VASP calculation (PBE) on a relaxed Cu2Ag3 crystal.

a = 11.3544 Å, b = 2.8835 Å, c = 9.6045 Å
α = 90.00°, β = 97.95°, γ = 90.00°
Space group Cm (No. 8)
Unique sites:
Cu 0.0000 0.0000 0.0000 x2
Cu 0.0176 0.5000 0.5499 x2
Cu 0.3209 0.0000 0.9112 x2
Cu 0.4182 0.5000 0.7277 x2
Ag 0.1098 0.0000 0.3430 x2
Ag 0.1142 0.5000 0.8264 x2
Ag 0.1989 0.5000 0.1148 x2
Ag 0.2245 0.0000 0.6269 x2
Ag 0.3345 0.5000 0.4211 x2
Ag 0.4156 0.0000 0.1957 x2

Computed properties:
* E_tot: -3.10 eV/atom
* energy relative to the lowest polymorph listed for this composition: 0.048 eV/atom
* E_form: 0.080 eV/atom

---

Entry 7:
VASP calculation (PBE) on a relaxed InCo3N5 crystal.

a = 5.0994 Å, b = 5.0994 Å, c = 3.8812 Å
α = 90.00°, β = 90.00°, γ = 120.00°
Space group P6/mmm (No. 191)
Unique sites:
In 0.0000 0.0000 0.0000 x1
Co 0.0000 0.5000 0.5000 x3
N 0.0000 0.0000 0.5000 x1
N 0.3333 0.6667 0.1694 x4

Computed properties:
* E_tot: -6.74 eV/atom
* size of the total moment: 1.678 μB per cell

---

Entry 8:
VASP calculation (PBE) on a relaxed ThGaIr crystal.

a = 8.2019 Å, b = 8.2019 Å, c = 3.2186 Å
α = 90.00°, β = 90.00°, γ = 120.00°
Space group P-62m (No. 189)
Unique sites:
Th 0.0000 0.3050 0.0000 x3
Ga 0.0000 0.0000 0.5000 x1
Ga 0.3333 0.6667 0.0000 x2
Ir 0.0000 0.6493 0.5000 x3

Computed properties:
* E_tot: -6.66 eV/atom
* size of the total moment: 0.039 μB per cell

---

Entry 9:
VASP calculation (PBE) on a relaxed PrReIr crystal.

a = 6.5125 Å, b = 6.5125 Å, c = 6.5125 Å
α = 90.00°, β = 90.00°, γ = 90.00°
Space group F-43m (No. 216)
Unique sites:
Pr 0.0000 0.0000 0.0000 x4
Re 0.0000 0.0000 0.5000 x4
Ir 0.2500 0.2500 0.2500 x4

Computed properties:
* E_tot: -8.02 eV/atom
* energy relative to the lowest polymorph listed for this composition: 0.000 eV/atom
* size of the total moment: 0.180 μB per cell
* E_form: 0.661 eV/atom

---

Entry 10:
VASP calculation (PBE) on a relaxed BaHoGa4Pt2 crystal.

a = 7.1051 Å, b = 4.4058 Å, c = 10.6019 Å
α = 90.00°, β = 90.00°, γ = 90.00°
Space group Amm2 (No. 38)
Unique sites:
Ba 0.0000 0.0000 0.0000 x2
Ho 0.5000 0.0000 0.1570 x2
Ga 0.2056 0.0000 0.7171 x4
Ga 0.3163 0.0000 0.4330 x4
Pt 0.0000 0.0000 0.2813 x2
Pt 0.5000 0.0000 0.8695 x2

Computed properties:
* E_tot: -4.53 eV/atom
* size of the total moment: 0.004 μB per cell

---

Entry 11:
VASP calculation (PBE) on a relaxed Tc crystal.

a = 5.5479 Å, b = 5.5479 Å, c = 5.5479 Å
α = 90.00°, β = 90.00°, γ = 90.00°
Space group Fd-3m (No. 227, origin choice 2)
Unique sites:
Tc 0.1250 0.1250 0.1250 x8

Computed properties:
* E_tot: -8.92 eV/atom
* energy relative to the lowest polymorph listed for this composition: 1.441 eV/atom
* size of the total moment: 0.005 μB per cell
* E_form: 1.441 eV/atom

---

Entry 12:
VASP calculation (PBE) on a relaxed Hf2PN crystal.

a = 3.3672 Å, b = 3.3672 Å, c = 11.8944 Å
α = 90.00°, β = 90.00°, γ = 120.00°
Space group P6_3/mmc (No. 194)
Unique sites:
Hf 0.3333 0.6667 0.1023 x4
P 0.3333 0.6667 0.7500 x2
N 0.0000 0.0000 0.0000 x2

Computed properties:
* E_tot: -9.87 eV/atom
* size of the total moment: 0.000 μB per cell

---

Entry 13:
VASP calculation (PBE) on a relaxed TmTcAsO crystal.

a = 4.3890 Å, b = 4.6303 Å, c = 6.2416 Å
α = 90.00°, β = 90.00°, γ = 90.00°
Space group Pmc2_1 (No. 26)
Unique sites:
Tm 0.0000 0.2180 0.0000 x2
Tc 0.5000 0.3672 0.3370 x2
As 0.5000 0.1374 0.6917 x2
O 0.0000 0.3731 0.3287 x2

Computed properties:
* E_tot: -7.43 eV/atom
* energy relative to the lowest polymorph listed for this composition: 0.466 eV/atom
* size of the total moment: 0.629 μB per cell

---

Entry 14:
VASP calculation (PBE) on a relaxed NbFeSb crystal.

a = 4.2378 Å, b = 4.2378 Å, c = 6.6243 Å
α = 90.00°, β = 90.00°, γ = 120.00°
Space group P6_3mc (No. 186)
Unique sites:
Nb 0.0000 0.0000 0.0000 x2
Fe 0.3333 0.6667 0.3800 x2
Sb 0.3333 0.6667 0.7599 x2

Computed properties:
* E_tot: -7.65 eV/atom
* size of the total moment: 0.019 μB per cell

---

Entry 15:
VASP calculation (PBE) on a relaxed LiCuTcTe2S crystal.

a = 3.6270 Å, b = 13.7228 Å, c = 9.5460 Å
α = 90.00°, β = 90.00°, γ = 90.00°
Space group Cmcm (No. 63)
Unique sites:
Li 0.0000 0.2097 0.2500 x4
Cu 0.0000 0.0200 0.7500 x4
Tc 0.0000 0.5000 0.0000 x4
Te 0.0000 0.1471 0.5528 x8
S 0.0000 0.4241 0.7500 x4

Computed properties:
* E_tot: -4.62 eV/atom
* size of the total moment: 5.654 μB per cell

---

Entry 16:
VASP calculation (PBE) on a relaxed TbAsPd crystal.

a = 7.0801 Å, b = 4.1632 Å, c = 7.9470 Å
α = 90.00°, β = 90.00°, γ = 90.00°
Space group Pnma (No. 62)
Unique sites:
Tb 0.0273 0.2500 0.1909 x4
As 0.2471 0.7500 0.3802 x4
Pd 0.1461 0.2500 0.5624 x4

Computed properties:
* E_tot: -6.02 eV/atom
* size of the total moment: 0.003 μB per cell

---

Entry 17:
VASP calculation (PBE) on a relaxed NaZrB4 crystal.

a = 3.1164 Å, b = 5.4305 Å, c = 7.4695 Å
α = 90.00°, β = 90.00°, γ = 90.00°
Space group Immm (No. 71)
Unique sites:
Na 0.0000 0.0000 0.0000 x2
Zr 0.0000 0.0000 0.5000 x2
B 0.0000 0.3231 0.2412 x8

Computed properties:
* E_tot: -6.32 eV/atom
* energy relative to the lowest polymorph listed for this composition: 0.088 eV/atom
* size of the total moment: 0.003 μB per cell

---

Entry 18:
VASP calculation (PBE) on a relaxed TlNi3S5 crystal.

a = 5.5323 Å, b = 5.5323 Å, c = 6.5403 Å
α = 90.00°, β = 90.00°, γ = 120.00°
Space group P6/mmm (No. 191)
Unique sites:
Tl 0.0000 0.0000 0.0000 x1
Ni 0.0000 0.5000 0.5000 x3
S 0.0000 0.0000 0.5000 x1
S 0.3333 0.6667 0.2666 x4

Computed properties:
* E_tot: -4.61 eV/atom
* size of the total moment: 0.032 μB per cell

---

Entry 19:
VASP calculation (PBE) on a relaxed KEr4IO6 crystal.

a = 6.5984 Å, b = 6.5984 Å, c = 8.6585 Å
α = 90.00°, β = 90.00°, γ = 120.00°
Space group P6/mmm (No. 191)
Unique sites:
K 0.0000 0.0000 0.0000 x1
Er 0.3333 0.6667 0.2579 x4
I 0.0000 0.0000 0.5000 x1
O 0.0000 0.5000 0.1832 x6

Computed properties:
* E_tot: -6.62 eV/atom
* size of the total moment: 0.000 μB per cell

---

Entry 20:
VASP calculation (PBE) on a relaxed TbPmDy crystal.

a = 7.7345 Å, b = 7.7345 Å, c = 7.7345 Å
α = 90.00°, β = 90.00°, γ = 90.00°
Space group F-43m (No. 216)
Unique sites:
Tb 0.0000 0.0000 0.0000 x4
Pm 0.2500 0.2500 0.7500 x4
Dy 0.0000 0.0000 0.5000 x4

Computed properties:
* E_tot: -3.91 eV/atom
* size of the total moment: 0.068 μB per cell
* E_form: 0.752 eV/atom

---

Entry 21:
VASP calculation (PBE) on a relaxed Er3Tm3CoTe2 crystal.

a = 8.2455 Å, b = 8.2455 Å, c = 3.8899 Å
α = 90.00°, β = 90.00°, γ = 120.00°
Space group P-62m (No. 189)
Unique sites:
Er 0.0000 0.6054 0.0000 x3
Tm 0.0000 0.2353 0.5000 x3
Co 0.0000 0.0000 0.0000 x1
Te 0.3333 0.6667 0.5000 x2

Computed properties:
* E_tot: -5.16 eV/atom
* energy relative to the lowest polymorph listed for this composition: 0.000 eV/atom
* size of the total moment: 0.159 μB per cell

---

Entry 22:
VASP calculation (PBE) on a relaxed Zr3ZnFe8 crystal.

a = 4.8976 Å, b = 4.8976 Å, c = 24.0038 Å
α = 90.00°, β = 90.00°, γ = 120.00°
Space group R3m (No. 160, hexagonal axes)
Unique sites:
Zr 0.0000 0.0000 0.0000 x3
Zr 0.0000 0.0000 0.1278 x3
Zr 0.0000 0.0000 0.6191 x3
Zn 0.0000 0.0000 0.4973 x3
Fe 0.0000 0.0000 0.3116 x3
Fe 0.0000 0.0000 0.8119 x3
Fe 0.0013 0.5006 0.0625 x9
Fe 0.0018 0.5009 0.5610 x9

Computed properties:
* E_tot: -8.01 eV/atom
* size of the total moment: 36.280 μB per cell
* E_form: -0.231 eV/atom